# 1
Density functional theory data (PBE) for crystalline B5C7 at its relaxed geometry.

Cell: 3.655 4.553 5.300 Å, 72.70 89.89 69.98°
Fractional coordinates of all 12 atoms:
B: 0.000 0.000 0.000
B: 0.008 0.982 0.569
B: 0.304 0.305 0.702
B: 0.637 0.649 0.376
B: 0.694 0.081 0.260
C: 0.021 0.354 0.966
C: 0.039 0.338 0.427
C: 0.276 0.365 0.190
C: 0.386 0.676 0.110
C: 0.396 0.660 0.630
C: 0.636 0.662 0.872
C: 0.704 0.986 0.787

Computed properties:
E above lowest polymorph   1.10 eV/f.u.
DFT formation energy   4.196 eV/f.u.

# 2
Density functional theory data (PBE) for crystalline FeSeCl at its relaxed geometry.

Cell: 4.567 4.567 4.567 Å, 60.00 60.00 60.00°
Fractional coordinates of all 3 atoms:
Fe: 0.000 0.000 0.000
Se: 0.250 0.250 0.250
Cl: 0.500 0.500 0.500

Computed properties:
Calculated total energy   -3.97 eV/atom

# 3
Density functional theory data (PBE) for crystalline HoMgTiIn at its relaxed geometry.

Cell: 5.032 5.032 5.032 Å, 60.00 60.00 60.00°
Fractional coordinates of all 4 atoms:
Ho: 0.000 0.000 0.000
Mg: 0.250 0.250 0.250
Ti: 0.500 0.500 0.500
In: 0.750 0.750 0.750

Computed properties:
DFT formation energy   -0.277 eV/f.u.

# 4
Density functional theory data (PBE) for crystalline La8Ni3RhI4 at its relaxed geometry.

Cell: 8.448 8.448 9.578 Å, 116.26 116.26 59.84°
Fractional coordinates of all 16 atoms:
La: 0.227 0.730 0.685
La: 0.228 0.228 0.682
La: 0.270 0.773 0.315
La: 0.271 0.271 0.315
La: 0.729 0.729 0.685
La: 0.730 0.227 0.685
La: 0.772 0.772 0.318
La: 0.773 0.270 0.315
Ni: 0.000 0.000 0.500
Ni: 0.000 0.500 0.500
Ni: 0.500 0.000 0.500
Rh: 0.500 0.500 0.500
I: 0.000 0.000 0.000
I: 0.000 0.500 0.000
I: 0.500 0.000 0.000
I: 0.500 0.500 0.000

Computed properties:
Calculated total energy   -5.21 eV/atom

# 5
Density functional theory data (PBE) for crystalline La6Te5As at its relaxed geometry.

Cell: 7.878 7.878 7.881 Å, 99.58 99.58 120.00°
Fractional coordinates of all 12 atoms:
La: 0.078 0.393 0.736
La: 0.234 0.234 0.259
La: 0.393 0.078 0.736
La: 0.607 0.922 0.264
La: 0.766 0.766 0.741
La: 0.922 0.607 0.264
Te: 0.173 0.827 0.000
Te: 0.335 0.665 0.500
Te: 0.500 0.500 0.000
Te: 0.665 0.335 0.500
Te: 0.827 0.173 0.000
As: 0.000 0.000 0.500

Computed properties:
Calculated total energy   -5.78 eV/atom

# 6
Density functional theory data (PBE) for crystalline Ac3Zn2Cd7 at its relaxed geometry.

Cell: 10.187 10.187 10.187 Å, 35.16 35.16 35.16°
Fractional coordinates of all 12 atoms:
Ac: 0.000 0.000 0.000
Ac: 0.142 0.142 0.142
Ac: 0.858 0.858 0.858
Zn: 0.335 0.335 0.335
Zn: 0.665 0.665 0.665
Cd: 0.074 0.580 0.580
Cd: 0.420 0.420 0.926
Cd: 0.420 0.926 0.420
Cd: 0.500 0.500 0.500
Cd: 0.580 0.074 0.580
Cd: 0.580 0.580 0.074
Cd: 0.926 0.420 0.420

Computed properties:
DFT formation energy   -3.059 eV/f.u.

# 7
Density functional theory data (PBE) for crystalline AcScZnRu at its relaxed geometry.

Cell: 5.023 5.023 5.023 Å, 60.00 60.00 60.00°
Fractional coordinates of all 4 atoms:
Ac: 0.000 0.000 0.000
Sc: 0.500 0.500 0.500
Zn: 0.750 0.750 0.750
Ru: 0.250 0.250 0.250

Computed properties:
DFT formation energy   -0.473 eV/f.u.

# 8
Density functional theory data (PBE) for crystalline Sr2ScTe at its relaxed geometry.

Cell: 7.540 7.540 7.540 Å, 102.02 102.02 125.69°
Fractional coordinates of all 8 atoms:
Sr: 0.084 0.625 0.959
Sr: 0.375 0.334 0.459
Sr: 0.666 0.125 0.041
Sr: 0.875 0.916 0.541
Sc: 0.250 0.750 0.500
Sc: 0.500 0.500 0.000
Te: 0.000 0.000 0.000
Te: 0.750 0.250 0.500

Computed properties:
Calculated total energy   -3.38 eV/atom

# 9
Density functional theory data (PBE) for crystalline Dy3AlHg2 at its relaxed geometry.

Cell: 5.193 15.637 3.704 Å, 90.00 90.00 90.00°
Fractional coordinates of all 12 atoms:
Dy: 0.250 0.086 0.001
Dy: 0.250 0.414 0.001
Dy: 0.250 0.750 0.999
Dy: 0.750 0.250 0.001
Dy: 0.750 0.586 0.999
Dy: 0.750 0.914 0.999
Al: 0.250 0.250 0.501
Al: 0.750 0.750 0.499
Hg: 0.250 0.587 0.500
Hg: 0.250 0.913 0.500
Hg: 0.750 0.087 0.500
Hg: 0.750 0.413 0.500

Computed properties:
E above lowest polymorph   0.01 eV/f.u.
DFT formation energy   -2.645 eV/f.u.

# 10
Density functional theory data (PBE) for crystalline SiSeS at its relaxed geometry.

Cell: 7.319 3.545 7.355 Å, 90.00 90.36 90.00°
Fractional coordinates of all 6 atoms:
Si: 0.134 0.000 0.135
Si: 0.866 0.000 0.865
Se: 0.278 0.500 0.279
Se: 0.722 0.500 0.721
S: 0.158 0.000 0.844
S: 0.842 0.000 0.156

Computed properties:
E above lowest polymorph   0.00 eV/f.u.

# 11
Density functional theory data (PBE) for crystalline BeRuPb2 at its relaxed geometry.

Cell: 4.641 4.641 5.396 Å, 98.39 98.39 44.03°
Fractional coordinates of all 4 atoms:
Be: 0.000 0.000 0.000
Ru: 0.500 0.500 0.500
Pb: 0.240 0.240 0.749
Pb: 0.760 0.760 0.251

Computed properties:
E above lowest polymorph   2.23 eV/f.u.
DFT formation energy   2.906 eV/f.u.

# 12
Density functional theory data (PBE) for crystalline Y10Er4Tm at its relaxed geometry.

Cell: 9.386 9.386 9.386 Å, 99.59 99.59 131.82°
Fractional coordinates of all 15 atoms:
Y: 0.050 0.151 0.700
Y: 0.151 0.451 0.101
Y: 0.250 0.750 0.500
Y: 0.350 0.050 0.899
Y: 0.451 0.350 0.300
Y: 0.549 0.650 0.700
Y: 0.650 0.950 0.101
Y: 0.750 0.250 0.500
Y: 0.849 0.549 0.899
Y: 0.950 0.849 0.300
Er: 0.100 0.299 0.400
Er: 0.299 0.900 0.199
Er: 0.701 0.100 0.801
Er: 0.900 0.701 0.600
Tm: 0.500 0.500 0.000

Computed properties:
DFT formation energy   10.913 eV/f.u.